## LaFePO2 (GGA+U)

Data for a relaxed LaFePO2 crystal.

Values from the calculation:
Spin magnetization, Bohr magnetons per cell: 3.74
DOS(E_F), states/eV/cell: 2.7
Energy, eV for the cell shown: -29.0
Crystal system: tetragonal

abc: 4.201 4.201 6.480
angles: 90.00 90.00 90.00
Site moments in Bohr magnetons follow the coordinates.
Positions (direct):
P 0.000 0.000 0.500  -0.29
Fe 0.500 0.500 0.500  3.75
O 0.000 0.500 0.000  0.18
O 0.500 0.000 0.000  0.18
La 0.000 0.000 0.000  0.14